# 1
# InTc2B

A relaxed structure of InTc2B (GGA-PBE, Alexandria). Values from VASP.

```
&SYSTEM
  ibrav = 0, nat = 8, ntyp = 3
/
ATOMIC_SPECIES
In 114.82 In.upf
Tc 98.00 Tc.upf
B 10.81 B.upf
ATOMIC_POSITIONS angstrom
In 4.0175 2.0088 4.1709
Tc 5.0219 4.6093 6.2564
Tc 2.6005 1.0044 2.0855
Tc 3.0132 3.4258 6.2564
Tc 1.4170 3.0132 2.0855
B 2.0088 4.0175 4.1709
In 0.0000 0.0000 0.0000
B 2.0088 2.0088 0.0000
CELL_PARAMETERS angstrom
4.0175 0.0000 0.0000
0.0000 4.0175 0.0000
2.0088 2.0088 8.3418
```

Output
Space group: I-42d (122)
Fermi-level density of states in states/eV/atom: 0.632
Calculated density in g cm⁻³: 7.9
Total magnetic moment in μB per atom: 0.000
DFT formation energy in eV/atom: 0.801


# 2
# InAs2BrN

A relaxed structure of InAs2BrN (GGA-PBE, Alexandria). Values from VASP.

```
&SYSTEM
  ibrav = 0, nat = 5, ntyp = 4
/
ATOMIC_SPECIES
In 114.82 In.upf
Br 79.90 Br.upf
As 74.92 As.upf
N 14.01 N.upf
ATOMIC_POSITIONS angstrom
In -1.1942 -1.2492 3.6121
Br 1.3655 -1.0205 1.7967
As -0.9888 1.3145 1.4981
As -1.5708 -1.5433 0.3173
N 0.0000 0.0000 0.0000
CELL_PARAMETERS angstrom
-1.9776 2.6290 2.9962
-3.1417 -3.0865 0.6346
2.7309 -2.0409 3.5934
```

Output
Final energy in eV per atom: -3.62
Space group: P4/mmm (123)
Fermi-level density of states in states/eV/atom: 0.772
Calculated density in g cm⁻³: 6.1
Total magnetic moment in μB per atom: 0.000


# 3
# KNpAg2F8

A relaxed structure of KNpAg2F8 (GGA-PBE, Alexandria). Values from VASP.

```
&SYSTEM
  ibrav = 0, nat = 12, ntyp = 4
/
ATOMIC_SPECIES
F 19.00 F.upf
K 39.10 K.upf
Ag 107.87 Ag.upf
Np 237.00 Np.upf
ATOMIC_POSITIONS angstrom
F -0.5134 -5.1218 2.1033
F 0.8660 -7.7402 3.6907
F 0.4494 -5.5826 5.2875
K 0.6004 -2.5280 3.5725
F 1.5959 -3.8469 -1.3793
Ag -0.7996 -3.9166 0.4002
F 3.6901 -2.2884 -0.6284
Ag 2.8449 -5.5129 3.5080
F -1.6448 -7.1411 4.5365
F 2.5587 -4.3077 1.8048
F 1.1793 -1.6893 0.2175
Np 0.0000 0.0000 0.0000
CELL_PARAMETERS angstrom
-4.2449 -3.1592 -1.5222
5.0895 -1.2142 -1.7145
1.2007 -5.0561 7.1449
```

Output
Final energy in eV per atom: -5.15
Space group: P-3m1 (164)
Fermi-level density of states in states/eV/atom: 0.771
Calculated density in g cm⁻³: 4.6
Total magnetic moment in μB per atom: 0.167